Entry 1:
{
  "formula": "Li4Tm",
  "functional": "PBE",
  "state": "optimized geometry",
  "cell": [[5.6018, 0.0000, 0.0000], [0.0000, 5.6018, 0.0000], [0.0000, 0.0000, 5.6018]],
  "species": ["Tm", "Li", "Li", "Li", "Li"],
  "frac_coords": [[0.5000, 0.5000, 0.5000], [0.0000, 0.0000, 0.0000], [0.5000, 0.0000, 0.5000], [0.0000, 0.5000, 0.5000], [0.5000, 0.5000, 0.0000]],
  "sg": "Pm-3m (221)",
  "formation_enthalpy_0k_ev_per_atom": 0.9409
}



Entry 2:
{
  "formula": "Li3Tm",
  "functional": "PBE",
  "state": "optimized geometry",
  "cell": [[3.3289, 0.0000, 0.0000], [0.0000, 5.3535, 0.0000], [-1.6644, -2.6767, 5.0454]],
  "species": ["Tm", "Li", "Li", "Li"],
  "frac_coords": [[0.0000, 0.9170, 0.0000], [0.2259, 0.6423, 0.4519], [0.5000, 0.4170, 0.0000], [0.7741, 0.1904, 0.5481]],
  "e_above_lowest_polymorph_kj_per_mol_fu": 0,
  "sg": "Immm (71)",
  "formation_enthalpy_0k_ev_per_atom": 0.1605
}



Entry 3:
{
  "formula": "LiTm3",
  "functional": "PBE",
  "state": "optimized geometry",
  "cell": [[-2.0953, -1.8324, 3.9266], [2.9845, -3.7724, -0.1679], [3.1415, 2.3617, 2.7785]],
  "species": ["Tm", "Tm", "Tm", "Li"],
  "frac_coords": [[0.0000, 0.5000, 0.5000], [0.5000, 0.0000, 0.5000], [0.5000, 0.5000, 0.0000], [0.0000, 0.0000, 0.0000]],
  "e_above_lowest_polymorph_kj_per_mol_fu": 50,
  "sg": "Pm-3m (221)",
  "formation_enthalpy_0k_ev_per_atom": 0.2120
}



Entry 4:
{
  "formula": "Li3Tm",
  "functional": "PBE",
  "state": "optimized geometry",
  "cell": [[-2.6162, -1.4359, 1.0677], [2.3407, -4.6490, -0.5169], [1.9194, 0.3858, 5.2218]],
  "species": ["Tm", "Li", "Li", "Li"],
  "frac_coords": [[0.0000, 0.5000, 0.3265], [0.0000, 0.0000, 0.9882], [0.5000, 0.0000, 0.5283], [0.5000, 0.5000, 0.8237]],
  "e_above_lowest_polymorph_kj_per_mol_fu": 6,
  "sg": "Pmm2 (25)",
  "formation_enthalpy_0k_ev_per_atom": 0.1758
}



Entry 5:
{
  "formula": "LiTm3",
  "functional": "PBE",
  "state": "optimized geometry",
  "cell": [[-4.8576, 0.6245, 4.8593], [-0.8862, -4.4299, -5.2144], [2.4148, -3.9171, 2.9174]],
  "species": ["Li", "Li", "Tm", "Tm", "Tm", "Tm", "Tm", "Tm"],
  "frac_coords": [[0.6667, 0.3333, 0.2500], [0.3333, 0.6667, 0.7500], [0.8322, 0.1678, 0.7500], [0.3357, 0.1678, 0.7500], [0.8322, 0.6643, 0.7500], [0.1678, 0.8322, 0.2500], [0.6643, 0.8322, 0.2500], [0.1678, 0.3357, 0.2500]],
  "e_above_lowest_polymorph_kj_per_mol_fu": 38,
  "sg": "P6_3/mmc (194)",
  "formation_enthalpy_0k_ev_per_atom": 0.1798
}



Entry 6:
{
  "formula": "Li3Tm",
  "functional": "PBE",
  "state": "optimized geometry",
  "cell": [[-4.8637, -0.0444, -4.2761], [-1.2415, -0.6469, 6.3231], [-0.4210, 4.9823, 0.4271]],
  "species": ["Li", "Li", "Li", "Li", "Li", "Li", "Tm", "Tm"],
  "frac_coords": [[0.1540, 0.3080, 0.2500], [0.6920, 0.8460, 0.2500], [0.1540, 0.8460, 0.2500], [0.8460, 0.6920, 0.7500], [0.3080, 0.1540, 0.7500], [0.8460, 0.1540, 0.7500], [0.3333, 0.6667, 0.7500], [0.6667, 0.3333, 0.2500]],
  "e_above_lowest_polymorph_kj_per_mol_fu": 22,
  "sg": "P6_3/mmc (194)",
  "formation_enthalpy_0k_ev_per_atom": 0.2173
}



Entry 7:
{
  "formula": "LiTm5",
  "functional": "PBE",
  "state": "optimized geometry",
  "cell": [[4.8914, 0.0000, 0.0000], [0.0000, 4.8291, 0.0000], [0.0000, -2.4145, 7.3039]],
  "species": ["Tm", "Tm", "Tm", "Tm", "Tm", "Li"],
  "frac_coords": [[0.5000, 0.8294, 0.6588], [0.0000, 0.6665, 0.3330], [0.5000, 0.5000, 0.0000], [0.0000, 0.3335, 0.6670], [0.5000, 0.1706, 0.3412], [0.0000, 0.0000, 0.0000]],
  "sg": "Cmmm (65)",
  "formation_enthalpy_0k_ev_per_atom": 0.1236
}



Entry 8:
{
  "formula": "LiTm3",
  "functional": "PBE",
  "state": "optimized geometry",
  "cell": [[-0.9476, -3.4783, 0.7212], [3.8466, -1.7419, -3.3471], [2.1305, 2.4998, 5.4846]],
  "species": ["Tm", "Tm", "Tm", "Li"],
  "frac_coords": [[0.2747, 0.6914, 0.5495], [0.5000, 0.4167, 0.0000], [0.7253, 0.1419, 0.4505], [0.0000, 0.9167, 0.0000]],
  "e_above_lowest_polymorph_kj_per_mol_fu": 0,
  "sg": "Immm (71)",
  "formation_enthalpy_0k_ev_per_atom": 0.0812
}



Entry 9:
{
  "formula": "Li2Tm",
  "functional": "PBE",
  "state": "optimized geometry",
  "cell": [[-3.5732, 4.1702, 1.8263], [-5.6994, -0.9751, 0.2455], [-2.6340, -0.4877, 5.1301]],
  "species": ["Tm", "Tm", "Li", "Li", "Li", "Li"],
  "frac_coords": [[0.0000, 0.0000, 0.0000], [0.2500, 0.2500, 0.2500], [0.1250, 0.6250, 0.6250], [0.6250, 0.1250, 0.6250], [0.6250, 0.6250, 0.6250], [0.6250, 0.6250, 0.1250]],
  "e_above_lowest_polymorph_kj_per_mol_fu": 0,
  "sg": "Fd-3m (227)",
  "formation_enthalpy_0k_ev_per_atom": 0.1230
}



Entry 10:
{
  "formula": "LiTm2V",
  "functional": "PBE",
  "state": "optimized geometry",
  "cell": [[3.5260, 0.0000, 0.0000], [0.0000, 3.5260, 0.0000], [0.0000, 0.0000, 7.6466]],
  "species": ["Tm", "Tm", "Li", "V"],
  "frac_coords": [[0.0000, 0.0000, 0.7795], [0.0000, 0.0000, 0.2205], [0.5000, 0.5000, 0.5000], [0.5000, 0.5000, 0.0000]],
  "e_above_lowest_polymorph_kj_per_mol_fu": 0,
  "sg": "P4/mmm (123)",
  "formation_enthalpy_0k_ev_per_atom": 0.1959
}



Entry 11:
{
  "formula": "LiTm2V",
  "functional": "PBE",
  "state": "optimized geometry",
  "cell": [[3.1989, 0.0000, 0.0000], [1.5994, 2.7703, 0.0000], [1.5994, 0.9234, 11.0716]],
  "species": ["Tm", "Tm", "Li", "V"],
  "frac_coords": [[0.0837, 0.0837, 0.7490], [0.9163, 0.9163, 0.2510], [0.5000, 0.5000, 0.5000], [0.0000, 0.0000, 0.0000]],
  "e_above_lowest_polymorph_kj_per_mol_fu": 175,
  "sg": "R-3m (166)",
  "formation_enthalpy_0k_ev_per_atom": 0.6488
}



Entry 12:
{
  "formula": "LiYTm2",
  "functional": "PBE",
  "state": "optimized geometry",
  "cell": [[3.7811, 0.0000, 0.0000], [0.0000, 5.4937, 0.0000], [0.0000, 0.0000, 5.4937]],
  "species": ["Y", "Tm", "Tm", "Li"],
  "frac_coords": [[0.5000, 0.0000, 0.0000], [0.0000, 0.0000, 0.5000], [0.0000, 0.5000, 0.0000], [0.5000, 0.5000, 0.5000]],
  "e_above_lowest_polymorph_kj_per_mol_fu": 40,
  "sg": "P4/mmm (123)",
  "formation_enthalpy_0k_ev_per_atom": 0.1797
}



Entry 13:
{
  "formula": "LiYTm2",
  "functional": "PBE",
  "state": "optimized geometry",
  "cell": [[-1.3440, 0.9526, 3.0436], [-3.4206, -0.1506, 0.5042], [-0.5802, -10.1827, 4.8985]],
  "species": ["Y", "Tm", "Tm", "Li"],
  "frac_coords": [[0.5000, 0.5000, 0.5000], [0.7478, 0.7478, 0.7567], [0.2522, 0.2522, 0.2433], [0.0000, 0.0000, 0.0000]],
  "e_above_lowest_polymorph_kj_per_mol_fu": 13,
  "sg": "R-3m (166)",
  "formation_enthalpy_0k_ev_per_atom": 0.1101
}



Entry 14:
{
  "formula": "LiYTm",
  "functional": "PBE",
  "state": "optimized geometry",
  "cell": [[3.9375, 0.0000, 0.0000], [0.0000, 3.9375, 0.0000], [0.0000, 0.0000, 11.1938]],
  "species": ["Li", "Li", "Tm", "Tm", "Y", "Y"],
  "frac_coords": [[0.0000, 0.0000, 0.0000], [0.5000, 0.5000, 0.0000], [0.0000, 0.5000, 0.5785], [0.5000, 0.0000, 0.4215], [0.0000, 0.5000, 0.2440], [0.5000, 0.0000, 0.7560]],
  "e_above_lowest_polymorph_kj_per_mol_fu": 32,
  "sg": "P4/nmm (129)",
  "formation_enthalpy_0k_ev_per_atom": 0.1888
}



Entry 15:
{
  "formula": "Li2YTm",
  "functional": "PBE",
  "state": "optimized geometry",
  "cell": [[5.2179, 0.0000, 0.0000], [2.6089, 4.5188, 0.0000], [2.6089, 1.5063, 4.2604]],
  "species": ["Y", "Tm", "Li", "Li"],
  "frac_coords": [[0.5000, 0.5000, 0.5000], [0.0000, 0.0000, 0.0000], [0.2500, 0.2500, 0.2500], [0.7500, 0.7500, 0.7500]],
  "sg": "Fm-3m (225)",
  "formation_enthalpy_0k_ev_per_atom": 0.1468
}



Entry 16:
{
  "formula": "LiYTm",
  "functional": "PBE",
  "state": "optimized geometry",
  "cell": [[3.3231, 0.8765, -0.6043], [0.8447, 3.3313, -0.6043], [-6.0704, -6.1288, 18.2522]],
  "species": ["Li", "Li", "Y", "Y", "Tm", "Tm"],
  "frac_coords": [[0.9716, 0.9716, 0.5693], [0.0284, 0.0284, 0.4307], [0.6480, 0.6480, 0.9077], [0.3520, 0.3520, 0.0923], [0.9650, 0.9650, 0.7327], [0.0350, 0.0350, 0.2673]],
  "e_above_lowest_polymorph_kj_per_mol_fu": 0,
  "sg": "C2/m (12)",
  "formation_enthalpy_0k_ev_per_atom": 0.0789
}



Entry 17:
{
  "formula": "LiYTm2",
  "functional": "PBE",
  "state": "optimized geometry",
  "cell": [[-3.0888, -2.3232, -3.8049], [2.1688, -1.4047, -4.7684], [0.6903, -5.2387, -1.2273]],
  "species": ["Li", "Y", "Tm", "Tm"],
  "frac_coords": [[0.7501, 0.7501, 0.7496], [0.4999, 0.4999, 0.5003], [0.0001, 0.0001, 0.9998], [0.2499, 0.2499, 0.2503]],
  "e_above_lowest_polymorph_kj_per_mol_fu": 38,
  "sg": "F-43m (216)",
  "formation_enthalpy_0k_ev_per_atom": 0.1735
}



Entry 18:
{
  "formula": "LiYTm",
  "functional": "PBE",
  "state": "optimized geometry",
  "cell": [[-0.9036, -2.2464, -2.4609], [3.0223, 1.6566, -0.2004], [3.6382, -6.1231, 4.2536]],
  "species": ["Y", "Tm", "Li"],
  "frac_coords": [[0.3333, 0.6667, 0.6685], [0.6667, 0.3333, 0.3294], [0.0000, 0.0000, 0.0021]],
  "e_above_lowest_polymorph_kj_per_mol_fu": 13,
  "sg": "P3m1 (156)",
  "formation_enthalpy_0k_ev_per_atom": 0.1241
}



Entry 19:
{
  "formula": "LiYTm",
  "functional": "PBE",
  "state": "optimized geometry",
  "cell": [[3.6193, 0.0000, 0.0000], [0.0000, 3.6193, 0.0000], [-1.8097, -1.8097, 6.2443]],
  "species": ["Y", "Tm", "Li"],
  "frac_coords": [[0.0116, 0.0116, 0.0233], [0.3197, 0.3197, 0.6394], [0.6687, 0.6687, 0.3374]],
  "e_above_lowest_polymorph_kj_per_mol_fu": 3,
  "sg": "I4mm (107)",
  "formation_enthalpy_0k_ev_per_atom": 0.0901
}



Entry 20:
{
  "formula": "Li2YTm",
  "functional": "PBE",
  "state": "optimized geometry",
  "cell": [[3.6890, 0.0000, 0.0000], [0.0000, 3.6890, 0.0000], [0.0000, 0.0000, 7.3766]],
  "species": ["Y", "Tm", "Li", "Li"],
  "frac_coords": [[0.5000, 0.5000, 0.5000], [0.5000, 0.5000, 0.0000], [0.0000, 0.0000, 0.7538], [0.0000, 0.0000, 0.2462]],
  "sg": "P4/mmm (123)",
  "formation_enthalpy_0k_ev_per_atom": 0.1454
}